# 1
Computed, not measured: crystalline Tc3MoI at its relaxed geometry at the GGA-PBEsol level of DFT.

Lattice parameters (Å, degrees): 4.655 4.655 4.655 90.00 90.00 90.00
Fractional positions:
Mo  0.000  0.000  0.000
I  0.500  0.500  0.500
Tc  0.000  0.000  0.500
Tc  0.500  0.000  0.000
Tc  0.000  0.500  0.000

## Properties
* ΔE_f (raw): 1.935 eV/atom
* Fermi-level density of states: 1.42 states/eV/atom
* space group: Pm-3m

# 2
Computed, not measured: crystalline BiS2ClF at its relaxed geometry at the GGA-PBEsol level of DFT.

Lattice parameters (Å, degrees): 4.247 4.247 5.144 90.00 90.00 90.00
Fractional positions:
S  0.500  0.000  0.000
Bi  0.500  0.500  0.500
F  0.000  0.000  0.000
Cl  0.000  0.000  0.500
S  0.000  0.500  0.000

## Properties
* ΔE_f (raw): 0.083 eV/atom
* Fermi-level density of states: 0.39 states/eV/atom
* distance to the lowest polymorph of the same formula: 0.0000 eV per atom
* space group: P4/mmm

# 3
Computed, not measured: crystalline MnSiOsRh2 at its relaxed geometry at the GGA-PBEsol level of DFT.

Lattice parameters (Å, degrees): 4.246 4.228 4.228 90.00 90.00 90.00
Fractional positions:
Mn  0.500  0.000  0.000
Rh  0.000  0.500  0.000
Si  0.000  0.000  0.000
Os  0.500  0.500  0.500
Rh  0.000  0.000  0.500

## Properties
* ΔE_f (raw): 0.996 eV/atom
* Fermi-level density of states: 1.50 states/eV/atom
* space group: P4/mmm

# 4
Computed, not measured: crystalline PdS2 at its relaxed geometry at the GGA-PBEsol level of DFT.

Lattice parameters (Å, degrees): 5.456 5.530 7.356 90.00 90.00 90.00
Fractional positions:
Pd  0.000  0.000  0.500
S  0.394  0.111  0.416
S  0.894  0.389  0.584
S  0.894  0.111  0.084
Pd  0.000  0.500  0.000
S  0.106  0.889  0.916
S  0.606  0.611  0.084
Pd  0.500  0.000  0.000
S  0.394  0.389  0.916
S  0.106  0.611  0.416
S  0.606  0.889  0.584
Pd  0.500  0.500  0.500

## Properties
* ΔE_f (raw): -0.326 eV/atom
* Fermi-level density of states: 0.09 states/eV/atom
* space group: Pbca

# 5
Computed, not measured: crystalline CrOs3Au at its relaxed geometry at the GGA-PBEsol level of DFT.

Lattice parameters (Å, degrees): 4.764 4.764 4.764 90.00 90.00 90.00
Fractional positions:
Os  0.000  0.000  0.500
Au  0.000  0.000  0.000
Os  0.500  0.000  0.000
Cr  0.500  0.500  0.500
Os  0.000  0.500  0.000

## Properties
* E_form: 3.20 eV/atom
* Fermi-level density of states: 1.33 states/eV/atom
* space group: Pm-3m

# 6
Computed, not measured: crystalline Sc2TlSbRu at its relaxed geometry at the GGA-PBEsol level of DFT.

Lattice parameters (Å, degrees): 5.212 5.212 5.383 90.00 90.00 90.00
Fractional positions:
Ru  0.500  0.500  0.500
Sc  0.000  0.500  0.000
Tl  0.000  0.000  0.500
Sc  0.500  0.000  0.000
Sb  0.000  0.000  0.000

## Properties
* ΔE_f (raw): 1.147 eV/atom
* Fermi-level density of states: 1.20 states/eV/atom
* space group: P4/mmm